Record 1
meta-GGA SCAN TiRuSe2, PBEsol geometry; uncorrected energy = -184.44 eV for the cell shown; mass density = 5.95 g cm⁻³; volume = 21.41 Å³/atom
1.0
-5.053 1.628 -1.591
-1.687 -5.279 -0.045
1.832 2.271 6.160
Ru Ti Se
2 2 4
Cartesian
-1.613 -2.416 2.648 Ru
0.000 0.000 0.000 Ru
-3.296 1.037 1.875 Ti
-3.370 -1.825 -0.818 Ti
-4.651 0.031 0.113 Se
-2.857 -0.636 3.597 Se
0.550 1.305 4.416 Se
-2.857 -3.458 0.921 Se


Record 2
meta-GGA SCAN Ti3RuSe, PBEsol geometry; uncorrected energy = -102.08 eV for the cell shown; mass density = 5.40 g cm⁻³; volume = 19.89 Å³/atom
1.0
-2.791 -1.997 3.113
3.409 -2.902 1.194
1.435 3.010 3.217
Ru Ti Se
1 3 1
Cartesian
0.000 0.000 0.000 Ru
1.704 -1.451 0.597 Ti
0.717 1.505 1.609 Ti
-1.395 -0.999 1.556 Ti
1.026 -0.945 3.762 Se


Record 3
meta-GGA SCAN TiRu3Se, PBEsol geometry; uncorrected energy = -133.41 eV for the cell shown; mass density = 8.04 g cm⁻³; volume = 17.75 Å³/atom
1.0
4.461 0.000 0.000
0.000 4.461 0.000
0.000 0.000 4.461
Ru Ti Se
3 1 1
Cartesian
2.230 0.000 0.000 Ru
0.000 2.230 0.000 Ru
0.000 0.000 2.230 Ru
0.000 0.000 0.000 Ti
2.230 2.230 2.230 Se